# 1
# LiCaPb2 (GGA-PBE, optimized geometry)
# spin magnetization	0.0	μB/f.u.
# DFT total energy	-3.08	eV per atom
# ΔE_f	-249	meV per atom
data_LiCaPb2
_cell_length_a 3.7103
_cell_length_b 3.7103
_cell_length_c 9.7854
_cell_angle_alpha 101.50
_cell_angle_beta 101.50
_cell_angle_gamma 59.01
_space_group_name_H-M_alt 'P 1'
_space_group_IT_number 1
_space_group_name_Hall 'P 1'
loop_
_atom_site_label
_atom_site_type_symbol
_atom_site_fract_x
_atom_site_fract_y
_atom_site_fract_z
Li1 Li 0.0000 0.0000 0.0000
Ca1 Ca 0.1695 0.1695 0.4995
Pb1 Pb 0.5899 0.5899 0.7737
Pb2 Pb 0.7494 0.7494 0.2262

# 2
# LiCaPb2 (GGA-PBE, optimized geometry)
# spin magnetization	0.0	μB/f.u.
# DFT total energy	-3.16	eV per atom
# ΔE_f	-323	meV per atom
data_LiCaPb2
_cell_length_a 6.0412
_cell_length_b 6.0412
_cell_length_c 6.0412
_cell_angle_alpha 134.41
_cell_angle_beta 134.34
_cell_angle_gamma 66.51
_space_group_name_H-M_alt 'P 1'
_space_group_IT_number 1
_space_group_name_Hall 'P 1'
loop_
_atom_site_label
_atom_site_type_symbol
_atom_site_fract_x
_atom_site_fract_y
_atom_site_fract_z
Li1 Li 0.0000 0.0000 0.0000
Ca1 Ca 0.7521 0.2521 0.5000
Pb1 Pb 0.2666 0.7666 0.5000
Pb2 Pb 0.5074 0.5074 0.0000

> What is the DFT total energy in the first record?

-3.08 eV per atom

> Number 1 is which compound?

LiCaPb2

> Which formula does entry 1 have?

LiCaPb2

> The lowest ΔE_f belongs to which entry?

number 2